No. 1
# CsInHg2Se

An optimized crystal structure of CsInHg2Se (PBE, Alexandria via LeMat-Bulk).

a b c (Å): 5.7797 5.7797 5.6687
angles (deg): 90.00 90.00 90.00
Last column: nearest neighbours and their distance in Å.
Sites, in units of the cell vectors:
Cs 0.5000 0.5000 0.5000  8 Hg 4.05, 4 Se 4.09
Se 0.0000 0.0000 0.5000  2 In 2.83
Hg 0.5000 0.0000 0.0000  2 In 2.89
Hg 0.0000 0.5000 0.0000  2 In 2.89
In 0.0000 0.0000 0.0000  2 Se 2.83, 4 Hg 2.89

Values from the calculation:
For the magnetic moment, the calculation gives 0.000 μB/atom. For the formation energy without anion corrections, the calculation gives -0.35 eV per atom.

***

No. 2
# Sm12Ni6Bi

An optimized crystal structure of Sm12Ni6Bi (PBE, Alexandria via LeMat-Bulk).

a b c (Å): 8.6468 8.6468 8.6468
angles (deg): 109.47 109.47 109.47
Last column: nearest neighbours and their distance in Å.
Sites, in units of the cell vectors:
Sm 0.8123 0.3085 0.1208  3 Ni 2.70-2.94
Sm 0.6915 0.8792 0.1877  3 Ni 2.70-2.94
Sm 0.8123 0.6915 0.5039  3 Ni 2.70-2.94
Sm 0.1877 0.6915 0.8792  3 Ni 2.70-2.94
Sm 0.8792 0.1877 0.6915  3 Ni 2.70-2.94
Sm 0.4961 0.1877 0.3085  3 Ni 2.70-2.94
Sm 0.3085 0.1208 0.8123  3 Ni 2.70-2.94
Sm 0.5039 0.8123 0.6915  3 Ni 2.70-2.94
Sm 0.1877 0.3085 0.4961  3 Ni 2.70-2.94
Sm 0.3085 0.4961 0.1877  3 Ni 2.70-2.94
Sm 0.6915 0.5039 0.8123  3 Ni 2.70-2.94
Sm 0.1208 0.8123 0.3085  3 Ni 2.70-2.94
Ni 0.3784 0.5000 0.8784  1 Ni 2.43, 2 Sm 2.70
Ni 0.5000 0.1216 0.6216  1 Ni 2.43, 2 Sm 2.70
Ni 0.8784 0.3784 0.5000  1 Ni 2.43, 2 Sm 2.70
Ni 0.6216 0.5000 0.1216  1 Ni 2.43, 2 Sm 2.70
Ni 0.5000 0.8784 0.3784  1 Ni 2.43, 2 Sm 2.70
Ni 0.1216 0.6216 0.5000  1 Ni 2.43, 2 Sm 2.70
Bi 0.0000 0.0000 0.0000  12 Sm 3.61

Values from the calculation:
For the magnetic moment, the calculation gives 0.000 μB/atom. The formation energy is -0.341 eV/atom.

***

Density of states at the Fermi level values (in states/eV/cell) by entry order: 1.27; 19.65.
Final energy values (in eV/atom) by entry order: -1.89; -5.35.